[1]
Here is a relaxed structure of YAlFe from Alexandria via LeMat-Bulk. Energies are from PBE.

Output
Formation enthalpy at 0 K ... -296 meV per atom
Theoretical density ... 5.24 g/cm3
D(E_F) ... 2.236 states/eV/f.u.

Cell: 8.739 5.346 5.346 Å, 60.74 90.00 90.00°
Fractional coordinates of all 12 atoms:
1 Y 0.176 0.000 0.000
2 Y 0.305 0.665 0.665
3 Y 0.695 0.665 0.665
4 Y 0.824 0.000 0.000
5 Al 0.233 0.326 0.326
6 Al 0.500 0.166 0.671
7 Al 0.500 0.671 0.166
8 Al 0.767 0.326 0.326
9 Fe 0.000 0.505 0.505
10 Fe 0.000 0.512 0.973
11 Fe 0.000 0.973 0.512
12 Fe 0.500 0.165 0.165



[2]
Here is a relaxed structure of LaPaTc2 from Alexandria via LeMat-Bulk. Energies are from PBE.

Output
Formation enthalpy at 0 K ... -61 meV per atom
E above lowest polymorph ... 0.000 eV per atom
Theoretical density ... 10.79 g/cm3
D(E_F) ... 6.103 states/eV/f.u.

Cell: 3.427 3.427 7.416 Å, 90.00 90.00 90.00°
Fractional coordinates of all 4 atoms:
1 La 0.000 0.000 0.000
2 Pa 0.000 0.000 0.500
3 Tc 0.500 0.500 0.298
4 Tc 0.500 0.500 0.702



[3]
Here is a relaxed structure of LiPmInIr from Alexandria via LeMat-Bulk. Energies are from PBE.

Output
Formation enthalpy at 0 K ... -451 meV per atom
Theoretical density ... 9.54 g/cm3
D(E_F) ... 3.950 states/eV/f.u.

Cell: 4.835 4.835 4.835 Å, 60.00 60.00 60.00°
Fractional coordinates of all 4 atoms:
1 Li 0.000 0.000 0.000
2 Pm 0.750 0.750 0.750
3 In 0.250 0.250 0.250
4 Ir 0.500 0.500 0.500



[4]
Here is a relaxed structure of SnAu3N from Alexandria via LeMat-Bulk. Energies are from PBE.

Output
E above lowest polymorph ... 0.000 eV per atom
Theoretical density ... 12.72 g/cm3
Energy relative to the elements, uncorrected ... 0.6791 eV/atom
D(E_F) ... 1.931 states/eV/f.u.

Cell: 4.554 4.554 4.554 Å, 90.00 90.00 90.00°
Fractional coordinates of all 5 atoms:
1 Sn 0.000 0.000 0.000
2 Au 0.000 0.500 0.500
3 Au 0.500 0.000 0.500
4 Au 0.500 0.500 0.000
5 N 0.500 0.500 0.500



[5]
Here is a relaxed structure of La4Cd5Ag2 from Alexandria via LeMat-Bulk. Energies are from PBE.

Output
Formation enthalpy at 0 K ... -275 meV per atom
Theoretical density ... 7.20 g/cm3
D(E_F) ... 10.202 states/eV/f.u.

Cell: 8.018 3.698 10.397 Å, 90.00 94.54 90.00°
Fractional coordinates of all 11 atoms:
1 La 0.165 0.000 0.377
2 La 0.265 0.000 0.944
3 La 0.735 0.000 0.056
4 La 0.835 0.000 0.623
5 Cd 0.200 0.500 0.662
6 Cd 0.439 0.500 0.204
7 Cd 0.500 0.500 0.500
8 Cd 0.561 0.500 0.796
9 Cd 0.800 0.500 0.338
10 Ag 0.060 0.500 0.135
11 Ag 0.940 0.500 0.865



[6]
Here is a relaxed structure of ReNiPt from Alexandria via LeMat-Bulk. Energies are from PBE.

Output
Formation enthalpy at 0 K ... 450 meV per atom
E above lowest polymorph ... 0.534 eV per atom
Theoretical density ... 15.81 g/cm3
D(E_F) ... 2.752 states/eV/f.u.

Cell: 4.028 4.028 4.028 Å, 60.00 60.00 60.00°
Fractional coordinates of all 3 atoms:
1 Re 0.000 0.000 0.000
2 Ni 0.250 0.250 0.250
3 Pt 0.500 0.500 0.500



[7]
Here is a relaxed structure of Sc8FeNi2 from Alexandria via LeMat-Bulk. Energies are from PBE.

Output
Formation enthalpy at 0 K ... -108 meV per atom
E above lowest polymorph ... 0.128 eV per atom
Theoretical density ... 3.96 g/cm3
D(E_F) ... 13.207 states/eV/f.u.

Cell: 7.027 7.027 5.174 Å, 100.32 100.32 112.58°
Fractional coordinates of all 11 atoms:
1 Sc 0.000 0.000 0.000
2 Sc 0.035 0.285 0.593
3 Sc 0.153 0.575 0.185
4 Sc 0.285 0.035 0.593
5 Sc 0.438 0.689 0.788
6 Sc 0.575 0.153 0.185
7 Sc 0.689 0.438 0.788
8 Sc 0.721 0.721 0.366
9 Fe 0.362 0.362 0.103
10 Ni 0.049 0.667 0.680
11 Ni 0.667 0.049 0.680



[8]
Here is a relaxed structure of Pr8In2Sb from Alexandria via LeMat-Bulk. Energies are from PBE.

Output
Theoretical density ... 6.64 g/cm3
Energy relative to the elements, uncorrected ... -0.3337 eV/atom
D(E_F) ... 12.630 states/eV/f.u.

Cell: 10.274 10.274 7.196 Å, 104.28 104.28 30.22°
Fractional coordinates of all 11 atoms:
1 Pr 0.016 0.016 0.263
2 Pr 0.212 0.212 0.814
3 Pr 0.342 0.342 0.517
4 Pr 0.406 0.406 0.033
5 Pr 0.594 0.594 0.967
6 Pr 0.658 0.658 0.483
7 Pr 0.788 0.788 0.186
8 Pr 0.984 0.984 0.737
9 In 0.179 0.179 0.243
10 In 0.821 0.821 0.757
11 Sb 0.500 0.500 0.500